# LaBi2Pt | Alexandria via LeMat-Bulk | GGA-PBE | optimized geometry
# E_form, eV per atom: -0.593
# Total magnetization, μB per cell: 0.00
data_LaBi2Pt
_symmetry_space_group_name_H-M 'I -4 2 d'
_symmetry_Int_Tables_number 122
_symmetry_space_group_name_Hall 'I -4 2bw'
_cell_length_a 8.491
_cell_length_b 8.491
_cell_length_c 6.346
_cell_angle_alpha 90.00
_cell_angle_beta 90.00
_cell_angle_gamma 90.00
loop_
_atom_site_label
_atom_site_fract_x
_atom_site_fract_y
_atom_site_fract_z
La1 0.000 0.000 0.000
Bi1 0.191 0.250 0.625
Pt1 0.000 0.000 0.500

=====

# La4BiPt | Alexandria via LeMat-Bulk | GGA-PBE | optimized geometry
# E_form, eV per atom: -0.664
# Total magnetization, μB per cell: 0.00
data_La4BiPt
_symmetry_space_group_name_H-M 'C 1 2/c 1'
_symmetry_Int_Tables_number 15
_symmetry_space_group_name_Hall '-C 2yc'
_cell_length_a 16.673
_cell_length_b 6.379
_cell_length_c 7.910
_cell_angle_alpha 90.00
_cell_angle_beta 106.43
_cell_angle_gamma 90.00
loop_
_atom_site_label
_atom_site_fract_x
_atom_site_fract_y
_atom_site_fract_z
La1 0.079 0.112 0.444
La2 0.174 0.397 0.135
Bi1 0.000 0.381 0.750
Pt1 0.250 0.250 0.500

=====

# LaBiPt10 | Alexandria via LeMat-Bulk | GGA-PBE | optimized geometry
# E_form, eV per atom: -0.403
# Total magnetization, μB per cell: 0.00
data_LaBiPt10
_symmetry_space_group_name_H-M 'P m m m'
_symmetry_Int_Tables_number 47
_symmetry_space_group_name_Hall '-P 2 2'
_cell_length_a 4.470
_cell_length_b 5.428
_cell_length_c 9.353
_cell_angle_alpha 90.00
_cell_angle_beta 90.00
_cell_angle_gamma 90.00
loop_
_atom_site_label
_atom_site_fract_x
_atom_site_fract_y
_atom_site_fract_z
La1 0.000 0.000 0.000
Bi1 0.000 0.500 0.500
Pt1 0.000 0.000 0.337
Pt2 0.000 0.500 0.173
Pt3 0.500 0.000 0.500
Pt4 0.500 0.248 0.248
Pt5 0.500 0.500 0.000

=====

# LaBi2Pt2 | Alexandria via LeMat-Bulk | GGA-PBE | optimized geometry
# E_form, eV per atom: -0.343
# Total magnetization, μB per cell: 0.00
data_LaBi2Pt2
_symmetry_space_group_name_H-M 'P 4/m b m'
_symmetry_Int_Tables_number 127
_symmetry_space_group_name_Hall '-P 4 2ab'
_cell_length_a 8.408
_cell_length_b 8.408
_cell_length_c 3.424
_cell_angle_alpha 90.00
_cell_angle_beta 90.00
_cell_angle_gamma 90.00
loop_
_atom_site_label
_atom_site_fract_x
_atom_site_fract_y
_atom_site_fract_z
La1 0.000 0.000 0.000
Bi1 0.139 0.361 0.000
Pt1 0.162 0.662 0.500

=====

# La6BiPt4 | Alexandria via LeMat-Bulk | GGA-PBE | optimized geometry
# E_form, eV per atom: -1.055
# Total magnetization, μB per cell: 0.23
data_La6BiPt4
_symmetry_space_group_name_H-M 'C m c m'
_symmetry_Int_Tables_number 63
_symmetry_space_group_name_Hall '-C 2c 2'
_cell_length_a 4.363
_cell_length_b 14.196
_cell_length_c 21.626
_cell_angle_alpha 90.00
_cell_angle_beta 90.00
_cell_angle_gamma 90.00
loop_
_atom_site_label
_atom_site_fract_x
_atom_site_fract_y
_atom_site_fract_z
La1 0.000 0.000 0.000
La2 0.000 0.167 0.250
La3 0.000 0.268 0.583
La4 0.000 0.464 0.156
Bi1 0.000 0.155 0.750
Pt1 0.000 0.098 0.124
Pt2 0.000 0.363 0.041

=====

# La2Bi4Pt | Alexandria via LeMat-Bulk | GGA-PBE | optimized geometry
# E_form, eV per atom: -0.381
# Total magnetization, μB per cell: 0.00
data_La2Bi4Pt
_symmetry_space_group_name_H-M 'I 4/m m m'
_symmetry_Int_Tables_number 139
_symmetry_space_group_name_Hall '-I 4 2'
_cell_length_a 5.489
_cell_length_b 5.489
_cell_length_c 16.048
_cell_angle_alpha 90.00
_cell_angle_beta 90.00
_cell_angle_gamma 90.00
loop_
_atom_site_label
_atom_site_fract_x
_atom_site_fract_y
_atom_site_fract_z
La1 0.000 0.000 0.129
Bi1 0.000 0.000 0.331
Bi2 0.000 0.500 0.000
Pt1 0.000 0.000 0.500

=====

# LaBi2Pt2 | Alexandria via LeMat-Bulk | GGA-PBE | optimized geometry
# E_form, eV per atom: -0.563
# Total magnetization, μB per cell: 0.00
data_LaBi2Pt2
_symmetry_space_group_name_H-M 'I 4/m m m'
_symmetry_Int_Tables_number 139
_symmetry_space_group_name_Hall '-I 4 2'
_cell_length_a 4.566
_cell_length_b 4.566
_cell_length_c 12.373
_cell_angle_alpha 90.00
_cell_angle_beta 90.00
_cell_angle_gamma 90.00
loop_
_atom_site_label
_atom_site_fract_x
_atom_site_fract_y
_atom_site_fract_z
La1 0.000 0.000 0.000
Bi1 0.000 0.500 0.250
Pt1 0.000 0.000 0.395

=====

# LaBi12Pt4 | Alexandria via LeMat-Bulk | GGA-PBE | optimized geometry
# E_form, eV per atom: -0.262
# Total magnetization, μB per cell: 0.00
data_LaBi12Pt4
_symmetry_space_group_name_H-M 'I m -3'
_symmetry_Int_Tables_number 204
_symmetry_space_group_name_Hall '-I 2 2 3'
_cell_length_a 10.045
_cell_length_b 10.045
_cell_length_c 10.045
_cell_angle_alpha 90.00
_cell_angle_beta 90.00
_cell_angle_gamma 90.00
loop_
_atom_site_label
_atom_site_fract_x
_atom_site_fract_y
_atom_site_fract_z
La1 0.000 0.000 0.000
Bi1 0.000 0.335 0.159
Pt1 0.250 0.250 0.250

=====

# La3BiPt8 | Alexandria via LeMat-Bulk | GGA-PBE | optimized geometry
# E_form, eV per atom: -0.922
# Total magnetization, μB per cell: 0.00
data_La3BiPt8
_symmetry_space_group_name_H-M 'R 3 m'
_symmetry_Int_Tables_number 160
_symmetry_space_group_name_Hall 'R 3 -2"'
_cell_length_a 5.5641
_cell_length_b 5.5641
_cell_length_c 27.1110
_cell_angle_alpha 90.00
_cell_angle_beta 90.00
_cell_angle_gamma 120.00
loop_
_atom_site_label
_atom_site_fract_x
_atom_site_fract_y
_atom_site_fract_z
La1 0.0000 0.0000 0.0000
La2 0.0000 0.0000 0.1290
La3 0.0000 0.0000 0.6163
Bi1 0.0000 0.0000 0.4903
Pt1 0.0000 0.0000 0.3117
Pt2 0.0000 0.0000 0.8118
Pt3 0.0034 0.5017 0.5634
Pt4 0.1684 0.3367 0.3930

=====

# LaBi2PtRh | Alexandria via LeMat-Bulk | GGA-PBE | optimized geometry
# E_form, eV per atom: 0.286
# Total magnetization, μB per cell: 0.00
data_LaBi2PtRh
_symmetry_space_group_name_H-M 'P 4/m m m'
_symmetry_Int_Tables_number 123
_symmetry_space_group_name_Hall '-P 4 2'
_cell_length_a 5.385
_cell_length_b 5.385
_cell_length_c 5.352
_cell_angle_alpha 90.00
_cell_angle_beta 90.00
_cell_angle_gamma 90.00
loop_
_atom_site_label
_atom_site_fract_x
_atom_site_fract_y
_atom_site_fract_z
La1 0.000 0.000 0.000
Bi1 0.000 0.500 0.500
Pt1 0.000 0.000 0.500
Rh1 0.500 0.500 0.000

=====

# LaBiPtS2 | Alexandria via LeMat-Bulk | GGA-PBE | optimized geometry
# Electronic total energy, eV per atom: -4.122
# Total magnetization, μB per cell: 0.38
data_LaBiPtS2
_symmetry_space_group_name_H-M 'P 4/m m m'
_symmetry_Int_Tables_number 123
_symmetry_space_group_name_Hall '-P 4 2'
_cell_length_a 5.031
_cell_length_b 5.031
_cell_length_c 6.482
_cell_angle_alpha 90.00
_cell_angle_beta 90.00
_cell_angle_gamma 90.00
loop_
_atom_site_label
_atom_site_fract_x
_atom_site_fract_y
_atom_site_fract_z
La1 0.000 0.000 0.000
Bi1 0.000 0.000 0.500
Pt1 0.500 0.500 0.000
S1 0.000 0.500 0.500

=====

# LaBiPtS2 | Alexandria via LeMat-Bulk | GGA-PBE | optimized geometry
# Electronic total energy, eV per atom: -4.965
# Total magnetization, μB per cell: 0.00
data_LaBiPtS2
_symmetry_space_group_name_H-M 'P 4/m m m'
_symmetry_Int_Tables_number 123
_symmetry_space_group_name_Hall '-P 4 2'
_cell_length_a 5.242
_cell_length_b 5.242
_cell_length_c 5.094
_cell_angle_alpha 90.00
_cell_angle_beta 90.00
_cell_angle_gamma 90.00
loop_
_atom_site_label
_atom_site_fract_x
_atom_site_fract_y
_atom_site_fract_z
La1 0.000 0.000 0.000
Bi1 0.500 0.500 0.500
Pt1 0.500 0.500 0.000
S1 0.000 0.500 0.500